No. 1
Entry from Alexandria: a relaxed structure of LaPr3Sn2 (GGA-PBE).

```
LaPr3Sn2
1.0
9.3734 -2.3804 0.0000
9.3734 2.3804 0.0000
-4.2140 0.0000 9.0040
La Pr Sn
2 6 4
Cartesian
1.6102 0.0000 1.1788
12.9226 0.0000 7.8251
-1.8967 0.0000 6.2034
5.2995 0.0000 1.0070
4.4077 0.0000 4.7023
10.1250 0.0000 4.3016
9.2333 0.0000 7.9969
16.4295 0.0000 2.8005
1.5365 0.0000 6.4298
8.6225 0.0000 1.2877
5.9103 0.0000 7.7163
12.9962 0.0000 2.5741
```

Values from the calculation:
* VASP energy: -30.52 eV/f.u.
* space-group type: C2/m (12)
* energy relative to the elements: -0.542 eV per atom
* magnetization: 0.0 μB/f.u.
* ΔE to the lowest computed polymorph: 32 meV/atom

=====

No. 2
Entry from Alexandria: a relaxed structure of La9PrSn2 (GGA-PBE).

```
La9PrSn2
1.0
5.0774 0.0000 0.0000
0.0000 5.0774 0.0000
0.0000 0.0000 15.5813
La Pr Sn
9 1 2
Cartesian
0.0000 0.0000 0.0000
0.0000 0.0000 5.3056
0.0000 0.0000 10.2757
0.0000 2.5387 2.7547
0.0000 2.5387 7.7907
0.0000 2.5387 12.8267
2.5387 0.0000 2.7547
2.5387 0.0000 7.7907
2.5387 0.0000 12.8267
2.5387 2.5387 0.0000
2.5387 2.5387 5.2695
2.5387 2.5387 10.3118
```

Values from the calculation:
* VASP energy: -60.79 eV/f.u.
* space-group type: P4/mmm (123)
* energy relative to the elements: -0.305 eV per atom
* magnetization: 0.0 μB/f.u.

=====

No. 3
Entry from Alexandria: a relaxed structure of LaPr3Sn (GGA-PBE).

```
LaPr3Sn
1.0
5.1866 2.9945 2.1443
-5.1866 2.9945 2.1443
0.0000 -5.9890 2.1443
La Pr Sn
1 3 1
Cartesian
0.0000 0.0000 0.0000
-2.5933 -1.4972 2.1443
-2.5933 1.4972 4.2885
0.0000 2.9945 2.1443
0.0000 0.0000 3.2164
```

Values from the calculation:
* VASP energy: -22.65 eV/f.u.
* space-group type: R-3m (166)
* energy relative to the elements: 0.123 eV per atom
* magnetization: 0.4 μB/f.u.
* ΔE to the lowest computed polymorph: 337 meV/atom